Entry 1:
{"formula": "BTeBr2O", "functional": "GGA-PBEsol", "state": "relaxed", "sg": "P4/mmm (123)", "lattice_angstrom": [[4.365, 0.000, 0.000], [0.000, 4.856, 0.000], [0.000, 0.000, 4.856]], "species": ["O", "Te", "Br", "Br", "B"], "frac_coords": [[0.000, 0.000, 0.000], [0.500, 0.000, 0.000], [0.000, 0.500, 0.000], [0.000, 0.000, 0.500], [0.500, 0.500, 0.500]]}

Entry 2:
{"formula": "BOsBr2", "functional": "GGA-PBEsol", "state": "relaxed", "sg": "Fm-3m (225)", "lattice_angstrom": [[-3.566, -2.618, -0.549], [-0.566, -3.571, 2.608], [-3.236, -0.030, 3.066]], "species": ["Br", "Br", "B", "Os"], "frac_coords": [[0.250, 0.250, 0.250], [0.750, 0.750, 0.750], [0.000, 0.000, 0.000], [0.500, 0.500, 0.500]]}

Entry 3:
{"formula": "BOsBr2", "functional": "GGA-PBEsol", "state": "relaxed", "sg": "I-42d (122)", "lattice_angstrom": [[-0.117, -2.747, -2.948], [-2.841, -5.570, 2.547], [-5.868, 0.778, -3.249]], "species": ["Br", "Br", "Br", "Br", "Os", "Os", "B", "B"], "frac_coords": [[0.980, 0.145, 0.645], [0.375, 0.645, 0.855], [0.875, 0.355, 0.145], [0.770, 0.855, 0.355], [0.000, 0.000, 0.000], [0.750, 0.500, 0.500], [0.250, 0.500, 0.500], [0.500, 0.000, 0.000]]}

Entry 4:
{"formula": "B3OsBr", "functional": "GGA-PBEsol", "state": "relaxed", "sg": "Pm-3m (221)", "lattice_angstrom": [[-0.946, -3.825, 0.340], [2.121, -0.812, -3.238], [3.201, -0.593, 2.245]], "species": ["Br", "Os", "B", "B", "B"], "frac_coords": [[0.000, 0.000, 0.000], [0.500, 0.500, 0.500], [0.000, 0.000, 0.500], [0.000, 0.500, 0.000], [0.500, 0.000, 0.000]]}

| no. | total moment (μB/atom) | formation energy from raw total energies (eV/atom) |
| --- | --- | --- |
| 1 | 0.00 | 1.0853 |
| 2 | 0.00 | 1.7963 |
| 3 | 0.00 | 0.6658 |
| 4 | 0.29 | 2.8688 |